[1]
The following is a DFT calculation (PBE-GGA) of crystalline CaInB12 at its relaxed geometry.

```
data_CaInB12
_symmetry_space_group_name_H-M 'F m -3 m'
_symmetry_Int_Tables_number 225
_symmetry_space_group_name_Hall '-F 4 2 3'
_cell_length_a 8.367
_cell_length_b 8.367
_cell_length_c 8.367
_cell_angle_alpha 90.00
_cell_angle_beta 90.00
_cell_angle_gamma 90.00
loop_
_atom_site_label
_atom_site_fract_x
_atom_site_fract_y
_atom_site_fract_z
_atom_site_occupancy
Ca1 0.000 0.000 0.000 1
In1 0.000 0.000 0.500 1
B1 0.100 0.250 0.250 1
```

[2]
The following is a DFT calculation (PBE-GGA) of crystalline Ac2Zn4Si3Au at its relaxed geometry.

Raw formation energy = -4.309 eV/f.u.

```
data_Ac2Zn4Si3Au
_symmetry_space_group_name_H-M 'P -4 m 2'
_symmetry_Int_Tables_number 115
_cell_length_a 4.417
_cell_length_b 4.417
_cell_length_c 10.463
_cell_angle_alpha 90.00
_cell_angle_beta 90.00
_cell_angle_gamma 90.00
loop_
_symmetry_equiv_pos_as_xyz
'x,y,z'
'y,-x,-z'
'-x,-y,z'
'-y,x,-z'
'-x,y,z'
'-y,-x,-z'
'x,-y,z'
'y,x,-z'
loop_
_atom_site_label
_atom_site_fract_x
_atom_site_fract_y
_atom_site_fract_z
_atom_site_occupancy
Ac1 0.000 0.500 0.246 1
Zn1 0.000 0.000 0.000 1
Zn2 0.000 0.500 0.633 1
Zn3 0.500 0.500 0.000 1
Si1 0.000 0.500 0.871 1
Si2 0.500 0.500 0.500 1
Au1 0.000 0.000 0.500 1
```

[3]
The following is a DFT calculation (PBE-GGA) of crystalline NpSn2Hg at its relaxed geometry.

Energy above the lowest structure with this stoichiometry = 0 meV per atom

```
data_NpSn2Hg
_symmetry_space_group_name_H-M 'P 4/m m m'
_symmetry_Int_Tables_number 123
_symmetry_space_group_name_Hall '-P 4 2'
_cell_length_a 4.738
_cell_length_b 4.738
_cell_length_c 4.410
_cell_angle_alpha 90.00
_cell_angle_beta 90.00
_cell_angle_gamma 90.00
loop_
_atom_site_label
_atom_site_fract_x
_atom_site_fract_y
_atom_site_fract_z
_atom_site_occupancy
Np1 0.000 0.000 0.000 1
Sn1 0.000 0.500 0.500 1
Hg1 0.500 0.500 0.000 1
```

[4]
The following is a DFT calculation (PBE-GGA) of crystalline Er7Tl2In at its relaxed geometry.

```
data_Er7Tl2In
_symmetry_space_group_name_H-M 'P 3 m 1'
_symmetry_Int_Tables_number 156
_cell_length_a 5.2577
_cell_length_b 5.2577
_cell_length_c 12.5795
_cell_angle_alpha 90.00
_cell_angle_beta 90.00
_cell_angle_gamma 120.00
loop_
_symmetry_equiv_pos_as_xyz
'x,y,z'
'-y,x-y,z'
'-x+y,-x,z'
'-y,-x,z'
'-x+y,y,z'
'x,x-y,z'
loop_
_atom_site_label
_atom_site_fract_x
_atom_site_fract_y
_atom_site_fract_z
_atom_site_occupancy
Er1 0.0000 0.0000 0.0000 1
Er2 0.0000 0.0000 0.2591 1
Er3 0.0000 0.0000 0.7372 1
Er4 0.3333 0.6667 0.4099 1
Er5 0.3333 0.6667 0.8763 1
Er6 0.6667 0.3333 0.1244 1
Er7 0.6667 0.3333 0.5824 1
Tl1 0.0000 0.0000 0.4983 1
Tl2 0.6667 0.3333 0.8497 1
In1 0.3333 0.6667 0.1447 1
```

| no. | uncorrected energy (eV/f.u.) | total moment (μB per cell) |
| --- | --- | --- |
| 1 | -85.9 | 0.00 |
| 2 | -37.2 | 0.00 |
| 3 | -21.6 | 4.13 |
| 4 | -40.2 | 1.30 |